(i)
# AcNiSn2 | Alexandria | PBE | relaxed
# DOS at the Fermi energy: 7.523 states/eV per cell
# M_tot: 0.0 μB/cell
data_AcNiSn2
_chemical_formula_sum 'Ac4 Ni4 Sn8'
_symmetry_space_group_name_H-M 'P 1'
_symmetry_Int_Tables_number 1
_symmetry_space_group_name_Hall 'P 1'
_cell_length_a 4.674
_cell_length_b 9.552
_cell_length_c 10.488
_cell_angle_alpha 117.09
_cell_angle_beta 102.88
_cell_angle_gamma 90.00
loop_
_atom_site_label
_atom_site_type_symbol
_atom_site_fract_x
_atom_site_fract_y
_atom_site_fract_z
Sn1 Sn 0.085 0.085 0.170
Ac1 Ac 0.500 0.742 0.000
Sn2 Sn 0.692 0.031 0.383
Sn3 Sn 0.308 0.648 0.617
Ac2 Ac 0.500 0.258 0.000
Ac3 Ac 0.293 0.293 0.585
Ni1 Ni 0.148 0.400 0.297
Ni2 Ni 0.852 0.600 0.703
Sn4 Sn 0.915 0.915 0.830
Ni3 Ni 0.148 0.896 0.297
Ac4 Ac 0.707 0.707 0.415
Sn5 Sn 0.308 0.969 0.617
Ni4 Ni 0.852 0.104 0.703
Sn6 Sn 0.921 0.421 0.842
Sn7 Sn 0.692 0.352 0.383
Sn8 Sn 0.079 0.579 0.158

---

(ii)
# AcNiSn2 | Alexandria | PBE | relaxed
# DOS at the Fermi energy: 3.434 states/eV per cell
# M_tot: 0.0 μB/cell
data_AcNiSn2
_chemical_formula_sum 'Ac1 Ni1 Sn2'
_symmetry_space_group_name_H-M 'P 1'
_symmetry_Int_Tables_number 1
_symmetry_space_group_name_Hall 'P 1'
_cell_length_a 3.528
_cell_length_b 3.528
_cell_length_c 7.810
_cell_angle_alpha 90.00
_cell_angle_beta 90.00
_cell_angle_gamma 90.00
loop_
_atom_site_label
_atom_site_type_symbol
_atom_site_fract_x
_atom_site_fract_y
_atom_site_fract_z
Sn1 Sn 0.000 0.000 0.186
Ac1 Ac 0.500 0.500 0.500
Ni1 Ni 0.500 0.500 0.000
Sn2 Sn 0.000 0.000 0.814

---

Which is most stable, and by how much? (i), by 368 meV/atom.